No. 1
DFT (PBE) results for an optimized crystal structure of TaOs2I.

Unit cell a=5.8164 b=5.8164 c=7.2124 alpha=66.22 beta=66.22 gamma=90.00
Sites, in units of the cell vectors:
I  0.5000  0.5000  0.0000
I  0.2500  0.7500  0.5000
Os  0.6333  0.1250  0.2500
Os  0.1167  0.6250  0.2500
Os  0.3750  0.3667  0.7500
Os  0.8750  0.8833  0.7500
Ta  0.0000  0.0000  0.0000
Ta  0.7500  0.2500  0.5000

The distance to the lowest polymorph of the same formula comes out at 0.140 eV/atom. The space group is I-42d, No. 122. The calculation puts the size of the total moment at 0.00 μB per cell. The value obtained for the formation energy from raw total energies is 1.307 eV/atom.

No. 2
DFT (PBE) results for an optimized crystal structure of Cu2SO4.

Unit cell a=4.9340 b=4.9340 c=5.1840 alpha=118.42 beta=118.42 gamma=90.00
Sites, in units of the cell vectors:
Cu  0.7500  0.2500  0.5000
Cu  0.2500  0.7500  0.5000
S  0.5000  0.5000  0.0000
O  0.7886  0.4341  0.2227
O  0.4341  0.7886  0.2227
O  0.5659  0.5659  0.7773
O  0.2114  0.2114  0.7773

The distance to the lowest polymorph of the same formula comes out at 0.082 eV/atom. The space group is I-42m, No. 121. The calculation puts the size of the total moment at 0.00 μB per cell. The value obtained for the formation energy from raw total energies is -0.789 eV/atom.